The following is a PBE calculation of a relaxed structure of NdErHgPt, from Alexandria.

abc: 5.1577 5.1577 5.1577
angles: 60.00 60.00 60.00
Positions (direct):
Hg  0.2500  0.2500  0.2500
Pt  0.7500  0.7500  0.7500
Nd  0.0000  0.0000  0.0000
Er  0.5000  0.5000  0.5000

Summary:
theoretical density	12.10	g/cm³
VASP energy	-4.68	eV/atom
volume	97.02	Å³/f.u.
E_form	-0.76	eV per atom